A relaxed LiLaHfNi crystal. Source: the Open Quantum Materials Database, functional PBE-GGA.

Calculated values
E above lowest polymorph ... 0 meV per atom
Theoretical density ... 7.934 g cm⁻³
Space group ... F-43m

a b c (Å): 4.840 4.840 4.840
angles (deg): 60.00 60.00 60.00
Sites, in units of the cell vectors:
Hf 0.500 0.500 0.500
La 0.000 0.000 0.000
Li 0.750 0.750 0.750
Ni 0.250 0.250 0.250

A relaxed LiLaHfNi crystal. Source: the Open Quantum Materials Database, functional PBE-GGA.

Calculated values
E above lowest polymorph ... 68 meV per atom
Theoretical density ... 8.466 g cm⁻³
Space group ... F-43m

a b c (Å): 4.736 4.736 4.736
angles (deg): 60.00 60.00 60.00
Sites, in units of the cell vectors:
Hf 0.250 0.250 0.250
La 0.000 0.000 0.000
Li 0.750 0.750 0.750
Ni 0.500 0.500 0.500

A relaxed LaHfMg crystal. Source: the Open Quantum Materials Database, functional PBE-GGA.

Calculated values
E above lowest polymorph ... 0 meV per atom
Theoretical density ... 6.165 g cm⁻³
Space group ... F-43m

a b c (Å): 5.068 5.068 5.068
angles (deg): 60.00 60.00 60.00
Sites, in units of the cell vectors:
Hf 0.250 0.250 0.250
La 0.750 0.750 0.750
Mg 0.000 0.000 0.000

A relaxed LaHfMg crystal. Source: the Open Quantum Materials Database, functional PBE-GGA.

Calculated values
E above lowest polymorph ... 324 meV per atom
Theoretical density ... 5.940 g cm⁻³
Space group ... F-43m

a b c (Å): 5.131 5.131 5.131
angles (deg): 60.00 60.00 60.00
Sites, in units of the cell vectors:
Hf 0.250 0.250 0.250
La 0.000 0.000 0.000
Mg 0.750 0.750 0.750

A relaxed LaHf2N3 crystal. Source: the Open Quantum Materials Database, functional PBE-GGA.

Calculated values
Energy ... -9.979 eV per atom
Theoretical density ... 11.221 g cm⁻³
Space group ... P-3m1

a b c (Å): 3.280 3.280 8.542
angles (deg): 90.00 90.00 120.00
Sites, in units of the cell vectors:
Hf 0.667 0.333 0.158
Hf 0.333 0.667 0.842
La 0.000 0.000 0.500
N 0.000 0.000 0.000
N 0.333 0.667 0.287
N 0.667 0.333 0.713

A relaxed LaHfNO2 crystal. Source: the Open Quantum Materials Database, functional PBE-GGA.

Calculated values
Energy ... -9.387 eV per atom
Theoretical density ... 8.462 g cm⁻³
Space group ... Pmm2

a b c (Å): 3.990 4.211 4.244
angles (deg): 90.00 90.00 90.00
Sites, in units of the cell vectors:
Hf 0.500 0.000 0.578
La 0.000 0.500 0.000
N 0.500 0.500 0.649
O 0.500 0.000 0.112
O 0.000 0.000 0.679